Compound: Nb2CrO6
Source: Alexandria
Functional: GGA+U
Structure: optimized geometry

Output
V = 225 Å³ per cell
E above lowest polymorph = 0.0417 eV per atom
N(E_F) = 4.87 states/eV/cell
symmetry = No. 58

Geometry as extended XYZ:
```
18
Lattice="4.899 0.000 0.000 0.000 5.301 0.000 0.000 0.000 8.681" Properties=species:S:1:pos:R:3 pbc="T T T"
Nb 0.000 0.000 1.647
Nb 0.000 0.000 7.034
Nb 2.449 2.650 2.694
Nb 2.449 2.650 5.987
Cr 0.000 2.650 0.000
Cr 2.449 0.000 4.340
O 0.897 0.873 0.000
O 1.124 3.554 1.528
O 1.124 3.554 7.153
O 1.326 0.903 2.812
O 1.326 0.903 5.868
O 1.552 3.523 4.340
O 3.347 1.778 4.340
O 3.573 4.397 2.812
O 3.573 4.397 5.868
O 3.775 1.747 1.528
O 3.775 1.747 7.153
O 4.001 4.428 0.000
```